Record 1
# RbSb2Pb4 PBE optimized geometry
# theoretical density	7450	kg/m³
# magnetic moment	0.00	μB per cell
# crystal system	triclinic
# ΔE_f (raw)	-8	meV/atom
# total energy	-3.443	eV/atom
data_RbSb2Pb4
_cell_length_a 4.228
_cell_length_b 4.267
_cell_length_c 16.025
_cell_angle_alpha 95.40
_cell_angle_beta 92.79
_cell_angle_gamma 115.69
_symmetry_space_group_name_H-M 'P -1'
_symmetry_Int_Tables_number 2
loop_
_symmetry_equiv_pos_as_xyz
'x,y,z'
'-x,-y,-z'
loop_
_atom_site_label
_atom_site_type_symbol
_atom_site_fract_x
_atom_site_fract_y
_atom_site_fract_z
Rb1 Rb 0.000 0.000 0.000
Sb1 Sb 0.283 0.549 0.826
Pb1 Pb 0.144 0.291 0.435
Pb2 Pb 0.416 0.856 0.278

Record 2
# Rb2SbPb PBE optimized geometry
# theoretical density	3050	kg/m³
# magnetic moment	0.00	μB per cell
# crystal system	tetragonal
# ΔE_f (raw)	-35	meV/atom
# total energy	-2.476	eV/atom
data_Rb2SbPb
_cell_length_a 13.564
_cell_length_b 13.564
_cell_length_c 5.917
_cell_angle_alpha 90.00
_cell_angle_beta 90.00
_cell_angle_gamma 90.00
_symmetry_space_group_name_H-M 'I -4 2 d'
_symmetry_Int_Tables_number 122
_symmetry_space_group_name_Hall 'I -4 2bw'
loop_
_atom_site_label
_atom_site_type_symbol
_atom_site_fract_x
_atom_site_fract_y
_atom_site_fract_z
Rb1 Rb 0.071 0.250 0.125
Sb1 Sb 0.000 0.000 0.000
Pb1 Pb 0.000 0.000 0.500